[1]
The following is a DFT calculation (GGA-PBE) of crystalline LaPrTl3 at its relaxed geometry.

Summary:
For the final energy, the calculation gives -32.42 eV/cell. The density is 6.9 g cm⁻³. As for the formation energy: 0.119 eV per atom.

```
10
Lattice="6.076 0.000 0.000 0.000 6.076 0.000 -3.038 -3.038 11.604" Properties=species:S:1:pos:R:3 pbc="T T T"
La 0.000 3.038 5.802
La 0.000 0.000 0.000
Tl 0.000 4.544 2.830
Tl 1.506 3.038 8.774
Tl 0.000 0.000 6.023
Tl 0.000 1.532 2.830
Tl 3.038 3.038 5.581
Tl -1.506 3.038 8.774
Pr 3.038 0.000 3.936
Pr 3.038 0.000 7.668
```

=====

[2]
The following is a DFT calculation (GGA-PBE) of crystalline LiTa2Te at its relaxed geometry.

Summary:
For the final energy, the calculation gives -27.38 eV/cell. For the raw formation energy, the calculation gives 133 kJ/mol of formula units. The density is 11.4 g cm⁻³.

```
4
Lattice="4.671 0.000 0.000 2.336 4.045 0.000 2.336 1.348 3.814" Properties=species:S:1:pos:R:3 pbc="T T T"
Li 4.671 2.697 1.907
Te 7.007 4.045 2.861
Ta 2.336 1.348 0.954
Ta 0.000 0.000 0.000
```

=====

[3]
The following is a DFT calculation (GGA-PBE) of crystalline BaMgSi2 at its relaxed geometry.

Summary:
For the final energy, the calculation gives -14.17 eV/cell. For the raw formation energy, the calculation gives 18 kJ/mol of formula units. The density is 3.7 g cm⁻³.

```
4
Lattice="-1.966 -2.875 0.362 0.989 -0.254 3.349 -6.205 4.516 2.174" Properties=species:S:1:pos:R:3 pbc="T T T"
Si -1.512 -0.820 2.215
Si -0.283 0.206 0.099
Mg -5.605 2.160 3.649
Ba -2.884 2.099 1.011
```